1.
PmYMgBe (GGA-PBE, optimized geometry); DFT formation energy = 88 meV/atom; mass density = 4.6 Mg/m³
1.0
-1.938 0.061 -4.779
-5.104 -0.190 -0.715
-2.521 4.162 -1.707
Y Be Mg Pm
1 1 1 1
direct
0.750 0.750 0.750
0.000 0.000 0.000
0.500 0.500 0.500
0.250 0.250 0.250

---

2.
PrMgBe (GGA-PBE, optimized geometry); DFT formation energy = 63 meV/atom; mass density = 4.2 Mg/m³
1.0
-2.976 -1.636 -1.086
0.971 -3.533 2.663
-3.844 1.864 7.726
Be Mg Pr
2 2 2
direct
0.750 0.463 0.073
0.250 0.537 0.927
0.750 0.296 0.408
0.250 0.704 0.592
0.750 0.093 0.814
0.250 0.907 0.186

---

3.
Pr2MgBe (GGA-PBE, optimized geometry); DFT formation energy = 707 meV/atom; mass density = 4.5 Mg/m³; energy above the most stable polymorph in this dataset = 662 meV/atom
1.0
3.409 0.000 0.000
1.705 2.952 0.000
1.705 0.984 11.597
Pr Be Mg
2 1 1
direct
0.087 0.087 0.740
0.913 0.913 0.260
0.000 0.000 0.000
0.500 0.500 0.500